Crystalline Sn3HgS at its relaxed geometry. Source: the Alexandria database, functional PBE.

The formation energy (no corrections) is 0.70 eV/atom. The density of states at the Fermi level comes out at 3.78 states/eV per cell. Its volume is 33.88 Å³ per atom. As for the space group: Pm-3m.

Cell lengths 5.533, 5.533, 5.533 Å; angles 90.00, 90.00, 90.00 degrees
Positions (direct):
1 S 0.500 0.500 0.500
2 Hg 0.000 0.000 0.000
3 Sn 0.000 0.500 0.000
4 Sn 0.000 0.000 0.500
5 Sn 0.500 0.000 0.000

Crystalline TlGaHPb2 at its relaxed geometry. Source: the Alexandria database, functional PBE.

The final energy comes out at -3.0401 eV/atom. The density of states at the Fermi level comes out at 2.75 states/eV per cell. Its volume is 24.40 Å³ per atom. As for the space group: P4/mmm.

Cell lengths 5.966, 5.966, 3.428 Å; angles 90.00, 90.00, 90.00 degrees
Positions (direct):
1 Pb 0.000 0.500 0.000
2 Pb 0.500 0.000 0.000
3 H 0.000 0.000 0.500
4 Tl 0.500 0.500 0.500
5 Ga 0.000 0.000 0.000

Crystalline Cr2OsPb at its relaxed geometry. Source: the Alexandria database, functional PBE.

The density of states at the Fermi level comes out at 4.20 states/eV per cell. The formation energy is 0.7638 eV/atom. Its volume is 16.55 Å³ per atom. As for the space group: F-43m.

Cell lengths 4.541, 4.541, 4.541 Å; angles 60.00, 60.00, 60.00 degrees
Each line ends with the local moment (μB).
Positions (direct):
1 Cr 0.000 0.000 0.000  3.26
2 Cr 0.250 0.250 0.250  2.67
3 Os 0.500 0.500 0.500  -0.32
4 Pb 0.750 0.750 0.750  -0.04

Crystalline La2GaHgH at its relaxed geometry. Source: the Alexandria database, functional PBE.

The final energy comes out at -3.7290 eV/atom. The density of states at the Fermi level comes out at 4.03 states/eV per cell. Its volume is 22.89 Å³ per atom. As for the space group: P4/mmm.

Cell lengths 5.258, 5.258, 4.140 Å; angles 90.00, 90.00, 90.00 degrees
Positions (direct):
1 H 0.000 0.000 0.000
2 Hg 0.500 0.500 0.500
3 Ga 0.000 0.000 0.500
4 La 0.000 0.500 0.000
5 La 0.500 0.000 0.000

Crystalline PrTm7In4 at its relaxed geometry. Source: the Alexandria database, functional PBE.

The density of states at the Fermi level comes out at 11.35 states/eV per cell. The formation energy is -0.0744 eV/atom. Its volume is 29.08 Å³ per atom. As for the space group: C2/m.

Cell lengths 5.615, 9.200, 7.706 Å; angles 75.73, 68.64, 72.23 degrees
Positions (direct):
1 Pr 0.000 0.000 0.000
2 Tm 0.787 0.875 0.551
3 Tm 0.213 0.125 0.449
4 Tm 0.064 0.603 0.270
5 Tm 0.936 0.397 0.730
6 Tm 0.285 0.655 0.776
7 Tm 0.500 0.000 0.000
8 Tm 0.715 0.345 0.224
9 In 0.563 0.237 0.637
10 In 0.437 0.763 0.363
11 In 0.682 0.667 0.969
12 In 0.318 0.333 0.031

Crystalline Na2Ga3Pt2 at its relaxed geometry. Source: the Alexandria database, functional PBE.

The density of states at the Fermi level comes out at 2.35 states/eV per cell. The formation energy is -0.5028 eV/atom. Its volume is 19.80 Å³ per atom. As for the space group: C2/m.

Cell lengths 4.052, 5.646, 7.271 Å; angles 114.89, 90.00, 111.03 degrees
Positions (direct):
1 Na 0.846 0.693 0.213
2 Na 0.154 0.307 0.787
3 Ga 0.500 0.000 0.000
4 Ga 0.640 0.280 0.452
5 Ga 0.360 0.720 0.548
6 Pt 0.876 0.753 0.784
7 Pt 0.124 0.247 0.216

Crystalline RePIr at its relaxed geometry. Source: the Alexandria database, functional PBE.

The density of states at the Fermi level comes out at 2.36 states/eV per cell. The formation energy is 0.0546 eV/atom. Its volume is 14.24 Å³ per atom. As for the space group: P-6m2.

Cell lengths 4.091, 4.091, 2.948 Å; angles 90.00, 90.00, 120.00 degrees
Positions (direct):
1 Re 0.333 0.667 0.500
2 P 0.667 0.333 0.499
3 Ir 0.000 0.000 0.000

Crystalline Pm6P3S2 at its relaxed geometry. Source: the Alexandria database, functional PBE.

The formation energy (no corrections) is -1.64 eV/atom. The density of states at the Fermi level comes out at 5.41 states/eV per cell. Its volume is 26.12 Å³ per atom. As for the space group: C2/m.

Cell lengths 7.074, 7.064, 7.048 Å; angles 80.36, 70.46, 59.95 degrees
Positions (direct):
1 Pm 0.414 0.660 0.755
2 Pm 0.754 0.000 0.760
3 Pm 0.074 0.340 0.755
4 Pm 0.246 0.000 0.240
5 Pm 0.586 0.340 0.245
6 Pm 0.926 0.660 0.245
7 P 0.000 0.000 0.000
8 P 0.333 0.335 0.000
9 P 0.667 0.665 0.000
10 S 0.166 0.668 0.500
11 S 0.834 0.332 0.500

What did the fourth record say?
Crystalline La2GaHgH at its relaxed geometry. Source: the Alexandria database, functional PBE.

The final energy comes out at -3.7290 eV/atom. The density of states at the Fermi level comes out at 4.03 states/eV per cell. Its volume is 22.89 Å³ per atom. As for the space group: P4/mmm.

Cell lengths 5.258, 5.258, 4.140 Å; angles 90.00, 90.00, 90.00 degrees
Positions (direct):
1 H 0.000 0.000 0.000
2 Hg 0.500 0.500 0.500
3 Ga 0.000 0.000 0.500
4 La 0.000 0.500 0.000
5 La 0.500 0.000 0.000

What is the formula in the first record?
Sn3HgS